1.
VASP calculation (meta-GGA SCAN) on LiFeF3 at its PBEsol-relaxed geometry.

abc: 5.060 5.063 7.501
angles: 89.85 89.91 60.03
Space group P1 (No. 1)
Asymmetric unit:
Li1 0.000 0.000 0.000
Li2 0.000 0.002 0.687
Li3 0.667 0.670 0.613
Fe1 0.002 0.003 0.339
Fe2 0.334 0.335 0.689
Fe3 0.666 0.669 0.021
F1 0.010 0.306 0.534
F2 0.304 0.690 0.534
F3 0.315 0.719 0.160
F4 0.338 0.978 0.833
F5 0.686 0.338 0.833
F6 0.687 0.013 0.533
F7 0.722 0.965 0.160
F8 0.970 0.314 0.157
F9 0.977 0.688 0.833

## Properties
E above lowest polymorph = 68 meV/atom
total magnetic moment = 12.0 μB/cell
formation energy without anion corrections = -2557 meV per atom

=====

2.
VASP calculation (meta-GGA SCAN) on CrCo2 at its PBEsol-relaxed geometry.

abc: 6.6492 6.6492 2.4241
angles: 90.00 90.00 120.00
Space group P-62m (No. 189)
Asymmetric unit:
Cr1 0.0000 0.0000 0.0000
Cr2 0.3333 0.6667 0.5000
Co1 0.0000 0.3553 0.0000
Co2 0.0000 0.6924 0.5000

## Properties
total magnetic moment = 4.4 μB/cell
formation enthalpy at 0 K = 0.2352 eV per atom